## CrAg2GeAs (GGA-PBE)

Data for CrAg2GeAs after structural relaxation.

The structure belongs to space group P4/mmm (No. 123); the cell edges are 4.854, 4.854 and 5.236 Å and the angles 90.00°, 90.00° and 90.00°. The inequivalent atoms are Cr at (0.000, 0.000, 0.000), Ag at (0.000, 0.500, 0.500), Ge at (0.500, 0.500, 0.000) and As at (0.500, 0.500, 0.500).

For the magnetic moment, the calculation gives 4.9 μB per cell. The formation energy comes out at 0.835 eV per atom. The calculation puts the density of states at the Fermi level at 2.1 states/eV per cell. As for the energy: -4.08 eV per atom.

## CrAgAsH2 (GGA-PBE)

Data for CrAgAsH2 after structural relaxation.

The structure belongs to space group P4/mmm (No. 123); the cell edges are 3.765, 3.765 and 5.117 Å and the angles 90.00°, 90.00° and 90.00°. The inequivalent atoms are Cr at (0.000, 0.000, 0.000), Ag at (0.500, 0.500, 0.000), As at (0.000, 0.000, 0.500) and H at (0.000, 0.500, 0.500).

For the magnetic moment, the calculation gives 3.9 μB per cell. The calculation puts the density of states at the Fermi level at 1.2 states/eV per cell. As for the energy: -4.11 eV per atom.

## CrIn2AgAs (GGA-PBE)

Data for CrIn2AgAs after structural relaxation.

The structure belongs to space group P4/mmm (No. 123); the cell edges are 5.252, 5.252 and 4.925 Å and the angles 90.00°, 90.00° and 90.00°. The inequivalent atoms are Cr at (0.000, 0.000, 0.000), In at (0.000, 0.500, 0.500), Ag at (0.500, 0.500, 0.500) and As at (0.500, 0.500, 0.000).

For the magnetic moment, the calculation gives 0.2 μB per cell. The formation energy comes out at 1.305 eV per atom. The calculation puts the density of states at the Fermi level at 7.3 states/eV per cell. As for the energy: -3.21 eV per atom.

## Cr2InAgAs (GGA-PBE)

Data for Cr2InAgAs after structural relaxation.

The structure belongs to space group P4/mmm (No. 123); the cell edges are 5.201, 5.201 and 5.093 Å and the angles 90.00°, 90.00° and 90.00°. The inequivalent atoms are Cr at (0.000, 0.500, 0.000), In at (0.000, 0.000, 0.000), Ag at (0.500, 0.500, 0.500) and As at (0.000, 0.000, 0.500).

For the magnetic moment, the calculation gives 8.9 μB per cell. The formation energy comes out at 1.313 eV per atom. The calculation puts the density of states at the Fermi level at 2.2 states/eV per cell. As for the energy: -4.58 eV per atom.